# 1
The following is a DFT calculation (PBE) of an optimized crystal structure of Na4LaPa3N8.

Summary:
- total magnetic moment (μB per atom) = 0.000
- density of states at the Fermi level (states/eV/atom) = 0.77
- space group = C2/m, No. 12

```
Na4LaPa3N8
1.0
6.121 -3.574 0.000
6.121 3.574 0.000
-3.890 0.000 5.884
Na La Pa N
4 1 3 8
Cartesian
0.000 0.000 0.000
1.116 1.787 2.942
1.116 -1.787 2.942
6.121 0.000 0.000
-1.945 0.000 2.942
3.061 1.787 0.000
3.061 -1.787 0.000
4.177 0.000 2.942
-0.133 0.000 4.687
4.797 1.638 1.545
2.369 0.000 1.324
3.556 1.638 4.338
4.797 -1.638 1.545
5.985 0.000 4.560
3.556 -1.638 4.338
8.486 0.000 1.197
```


# 2
The following is a DFT calculation (PBE) of an optimized crystal structure of NaLa2PdN.

Summary:
- total magnetic moment (μB per atom) = 0.000
- density of states at the Fermi level (states/eV/atom) = 0.46
- space group = P4/mmm, No. 123

```
NaLa2PdN
1.0
5.013 0.000 0.000
0.000 5.013 0.000
0.000 0.000 4.600
Na La Pd N
1 2 1 1
Cartesian
0.000 0.000 0.000
0.000 2.507 2.300
2.507 0.000 2.300
2.507 2.507 0.000
0.000 0.000 2.300
```


# 3
The following is a DFT calculation (PBE) of an optimized crystal structure of NaLa2PtN.

Summary:
- total magnetic moment (μB per atom) = 0.000
- density of states at the Fermi level (states/eV/atom) = 0.41
- space group = P4/mmm, No. 123

```
NaLa2PtN
1.0
5.003 0.000 0.000
0.000 5.003 0.000
0.000 0.000 4.505
Na La Pt N
1 2 1 1
Cartesian
0.000 0.000 0.000
0.000 2.501 2.252
2.501 0.000 2.252
2.501 2.501 0.000
0.000 0.000 2.252
```


# 4
The following is a DFT calculation (PBE) of an optimized crystal structure of NaLaPu4N8.

Summary:
- total magnetic moment (μB per atom) = 0.857
- density of states at the Fermi level (states/eV/atom) = 1.81
- space group = R3m, No. 160

```
NaLaPu4N8
1.0
3.451 1.992 5.394
-3.451 1.992 5.394
0.000 -3.985 5.394
Na La Pu N
1 1 4 8
Cartesian
0.000 0.000 0.000
0.000 0.000 6.274
0.000 -1.980 2.722
-1.714 0.990 2.722
1.714 0.990 2.722
0.000 0.000 9.988
-1.822 -1.052 9.179
0.000 0.000 3.805
0.000 -2.247 7.077
-1.946 1.123 7.077
1.822 -1.052 9.179
0.000 2.104 9.179
0.000 0.000 12.336
1.946 1.123 7.077
```


# 5
The following is a DFT calculation (PBE) of an optimized crystal structure of Na2LaReN4.

Summary:
- total magnetic moment (μB per atom) = 0.000
- density of states at the Fermi level (states/eV/atom) = 0.00
- space group = Pmn2_1, No. 31

```
Na2LaReN4
1.0
7.225 0.000 0.000
0.000 6.774 0.000
0.000 0.000 5.698
Na La Re N
4 2 2 8
Cartesian
1.763 1.013 0.000
1.850 5.761 2.849
5.375 5.761 2.849
5.462 1.013 0.000
0.000 2.517 2.814
3.612 4.257 5.663
0.000 4.605 0.113
3.612 2.169 2.962
0.000 2.814 5.368
0.000 4.646 1.937
1.543 5.427 5.227
2.070 1.347 2.378
3.612 2.128 4.786
3.612 3.960 2.520
5.155 1.347 2.378
5.682 5.427 5.227
```


# 6
The following is a DFT calculation (PBE) of an optimized crystal structure of NaLa2Re2N6.

Summary:
- total magnetic moment (μB per atom) = 0.000
- density of states at the Fermi level (states/eV/atom) = 0.39
- space group = P-1, No. 2

```
NaLa2Re2N6
1.0
6.045 0.000 0.000
-1.740 6.293 0.000
-1.462 -3.457 5.701
Na La Re N
1 2 2 6
Cartesian
0.000 0.000 0.000
-0.056 0.539 3.810
2.899 2.298 1.891
0.136 3.800 3.829
2.707 -0.963 1.872
-1.373 2.835 3.509
1.430 0.354 1.776
1.089 4.087 0.596
1.754 -1.250 5.105
1.413 2.483 3.926
4.216 0.002 2.193
```


In the order shown, the computed E_form (uncorrected) values come out to -979; -608; -740; -891; -637; -633 meV/atom.